*one*
CaSiTeAuSe | PBE | optimized geometry

a = 3.9249 Å, b = 3.9249 Å, c = 8.7277 Å
α = 90.18°, β = 89.92°, γ = 89.99°
Last column: nearest neighbours and their distance in Å.
Fractional coordinates of all 5 atoms:
Se  0.7121  0.8815  0.8084  1 Au 2.58, 4 Ca 2.82
Ca  0.2122  0.3813  0.7484  4 Se 2.82
Te  0.2099  0.3850  0.1532  4 Si 2.87-2.89
Au  0.7100  0.8845  0.5124  1 Si 2.36, 1 Se 2.58
Si  0.7085  0.8873  0.2422  1 Au 2.36

Output
The calculation puts the density of states at the Fermi level at 0.162 states/eV/atom. The symmetry is P1 (1). Its volume is 26.9 Å³/atom. The size of the total moment comes out at 0.00 μB/f.u.

---

*two*
CaSiTeAuSe | PBE | optimized geometry

a = 3.9773 Å, b = 4.0704 Å, c = 8.6837 Å
α = 88.17°, β = 84.51°, γ = 89.99°
Last column: nearest neighbours and their distance in Å.
Fractional coordinates of all 5 atoms:
Se  0.7730  0.4970  0.7794  1 Au 2.66, 4 Ca 2.86-2.87
Si  0.6512  0.0239  0.3282  2 Au 2.43, 2 Te 2.59
Te  0.1911  0.0545  0.1367  2 Si 2.59
Au  0.6854  0.5136  0.4794  2 Si 2.43, 1 Se 2.66
Ca  0.2798  0.9989  0.7409  4 Se 2.86-2.87

Output
The calculation puts the density of states at the Fermi level at 0.215 states/eV/atom. The symmetry is P1 (1). Its volume is 28.0 Å³/atom. The size of the total moment comes out at 0.00 μB/f.u.

---

Here are the energies relative to the best structure, in eV/atom: *one* 0.093; *two* 0.000.